CrTePtI2: relaxed, PBE.

Unit cell a=5.537 b=5.537 c=5.309 alpha=90.00 beta=90.00 gamma=90.00
Space group P4/mmm (No. 123)
One atom of each set of equivalent atoms:
Cr 0.000 0.000 0.000 x1
Te 0.500 0.500 0.000 x1
Pt 0.500 0.500 0.500 x1
I 0.000 0.500 0.500 x2

Values from the calculation:
Energy: -3.8393 eV per atom
Formation energy from raw total energies: 52 kJ per mole of atoms
Mass density: 6.413 g cm⁻³
Density of states at the Fermi level: 5.26 states/eV/f.u.